Na2Cd3I8: optimized geometry, GGA-PBE.

## Properties
Formation energy from raw total energies in eV per atom: -0.752
Calculated density in g cm⁻³: 4.50
Total DFT energy (no corrections) in Ha/atom: -0.0779

abc: 7.7123 8.8867 8.8867
angles: 59.04 82.33 82.33
Fractional coordinates of all 13 atoms:
Cd (0.0000, 0.7475, 0.2525)
Cd (0.0000, 0.2525, 0.7475)
Cd (0.5000, 0.0000, 0.0000)
I (0.3642, 0.6468, 0.1234)
I (0.8645, 0.8916, 0.8916)
I (0.6358, 0.3532, 0.8766)
I (0.3642, 0.1234, 0.6468)
I (0.1355, 0.1084, 0.1084)
I (0.9002, 0.3848, 0.3848)
I (0.0998, 0.6152, 0.6152)
I (0.6358, 0.8766, 0.3532)
Na (0.5924, 0.2744, 0.2744)
Na (0.4076, 0.7256, 0.7256)